This record from Alexandria via LeMat-Bulk describes Rb2NaCdHg after structural relaxation. The functional is PBE.

```
5
Lattice="6.882 0.000 0.000 0.000 6.882 0.000 0.000 0.000 5.854" Properties=species:S:1:pos:R:3 pbc="T T T"
Rb 0.000 3.441 0.000
Rb 3.441 0.000 0.000
Na 0.000 0.000 2.927
Cd 3.441 3.441 2.927
Hg 0.000 0.000 0.000
```

Values from the calculation:
For the total magnetic moment, the calculation gives 0.000 μB per formula unit. Its theoretical density is 3.04 Mg/m³. As for the energy above the most stable polymorph in this dataset: 26 meV/atom. The calculation puts the formation energy at 50 meV/atom. The total energy comes out at -4.2 eV/cell.